(1)
Density functional theory data (PBE-GGA) for a relaxed structure of Pm4TlCu.

Unit cell a=7.1319 b=7.1319 c=8.7347 alpha=114.09 beta=114.09 gamma=90.00
Element x y z (fractional)
Cu  0.2500  0.2500  0.5000
Cu  0.7500  0.7500  0.5000
Pm  0.9623  0.8135  0.2758
Pm  0.3135  0.4623  0.2758
Pm  0.8135  0.3135  0.2758
Pm  0.4623  0.9623  0.2758
Pm  0.0377  0.1865  0.7242
Pm  0.6865  0.5377  0.7242
Pm  0.5377  0.0377  0.7242
Pm  0.1865  0.6865  0.7242
Tl  0.0000  0.0000  0.0000
Tl  0.5000  0.5000  0.0000

## Properties
Energy above the lowest structure with this stoichiometry: 52 meV/atom
DFT formation energy: -0.59 eV per formula unit
Total DFT energy (no corrections): -4.342 eV per atom
Size of the total moment: 0.000 μB per cell


(2)
Density functional theory data (PBE-GGA) for a relaxed structure of Ti4InSn2.

Unit cell a=7.1339 b=7.1339 c=7.1344 alpha=109.50 beta=109.50 gamma=109.42
Element x y z (fractional)
Sn  0.7548  0.8750  0.3798
Sn  0.1250  0.5053  0.8803
Sn  0.4952  0.3750  0.6202
Sn  0.6250  0.2447  0.1197
Ti  0.5292  0.7762  0.9097
Ti  0.7208  0.1305  0.7471
Ti  0.8666  0.6195  0.0903
Ti  0.3834  0.9738  0.2529
Ti  0.0268  0.2798  0.4102
Ti  0.2233  0.1334  0.7530
Ti  0.8695  0.6166  0.5898
Ti  0.3805  0.4703  0.2470
In  0.2503  0.7503  0.5000
In  0.9997  0.9997  0.0000

## Properties
DFT formation energy: -1.15 eV per formula unit
Total DFT energy (no corrections): -6.211 eV per atom
Size of the total moment: 0.007 μB per cell


(3)
Density functional theory data (PBE-GGA) for a relaxed structure of AcLaTl6.

Unit cell a=4.9525 b=4.9525 c=9.9020 alpha=90.00 beta=90.00 gamma=90.00
Element x y z (fractional)
Tl  0.5000  0.5000  0.5000
Tl  0.0000  0.5000  0.7441
Tl  0.5000  0.5000  0.0000
Tl  0.5000  0.0000  0.7441
Tl  0.0000  0.5000  0.2559
Tl  0.5000  0.0000  0.2559
La  0.0000  0.0000  0.5000
Ac  0.0000  0.0000  0.0000

## Properties
DFT formation energy: -2.69 eV per formula unit
Total DFT energy (no corrections): -3.241 eV per atom
Size of the total moment: 0.000 μB per cell